First-principles (PBE) data for a relaxed Pa2NiPd crystal, as listed in Alexandria.

Computed properties:
* DOS(E_F): 6.1 states/eV/f.u.
* energy of formation: -107 kJ/mol of formula units
* ρ: 13.06 g cm⁻³
* E: -7.77 eV/atom
* M_tot: 0.00 Bohr magnetons per cell

Cell lengths 3.4645, 3.4645, 6.6423 Å; angles 90.00, 90.00, 90.00 degrees
Closest atoms and distances in Å follow each position.
Space group P4/mmm (No. 123)
Unique sites:
Pa (0.0000, 0.0000, 0.2199)  4 Ni 2.85, 1 Pa 2.92, 4 Pd 3.08
Ni (0.5000, 0.5000, 0.0000)  8 Pa 2.85
Pd (0.5000, 0.5000, 0.5000)  8 Pa 3.08, 2 Ni 3.32

First-principles (PBE) data for a relaxed TaZnN2F crystal, as listed in Alexandria.

Computed properties:
* DOS(E_F): 1.5 states/eV/f.u.
* polymorph energy (0 for the lowest one): 0 meV per atom
* ρ: 7.28 g cm⁻³
* E: -6.85 eV/atom
* M_tot: 0.05 Bohr magnetons per cell
* formation energy from raw total energies: -0.52 eV per atom

Cell lengths 4.0807, 4.0807, 4.0195 Å; angles 90.00, 90.00, 90.00 degrees
Closest atoms and distances in Å follow each position.
Space group P4/mmm (No. 123)
Unique sites:
Ta (0.0000, 0.0000, 0.0000)  2 F 2.01, 4 N 2.04
Zn (0.5000, 0.5000, 0.5000)  8 N 2.86, 4 F 2.89
N (0.0000, 0.5000, 0.0000)  2 Ta 2.04
F (0.0000, 0.0000, 0.5000)  2 Ta 2.01

First-principles (PBE) data for a relaxed Pm6NdY2Sc crystal, as listed in Alexandria.

Computed properties:
* DOS(E_F): 14.9 states/eV/f.u.
* energy of formation: 123 kJ/mol of formula units
* ρ: 6.16 g cm⁻³
* E: -5.13 eV/atom
* M_tot: 0.00 Bohr magnetons per cell

Cell lengths 9.4740, 15.3443, 9.1903 Å; angles 90.00, 93.47, 90.00 degrees
Closest atoms and distances in Å follow each position.
Space group C2/c (No. 15)
Unique sites:
Pm (0.0508, 0.1727, 0.4449)  7 Pm 3.50-3.73, 1 Y 3.50, 2 Nd 3.58-3.66
Pm (0.0944, 0.3789, 0.6052)  4 Pm 3.30-3.51, 3 Y 3.34-3.51, 2 Sc 3.41-3.43
Pm (0.2349, 0.2155, 0.8032)  5 Pm 3.33-3.73, 1 Sc 3.37, 1 Y 3.43, 1 Nd 3.58
Nd (0.0000, 0.0340, 0.7500)  4 Y 3.39-3.63, 6 Pm 3.58-3.66
Y (0.2390, 0.4501, 0.9452)  5 Pm 3.34-3.51, 2 Sc 3.39-3.73, 2 Nd 3.39-3.63
Sc (0.0000, 0.4253, 0.2500)  6 Pm 3.37-3.43, 4 Y 3.39-3.73

First-principles (PBE) data for a relaxed RbMg3Pb crystal, as listed in Alexandria.

Computed properties:
* DOS(E_F): 5.3 states/eV/f.u.
* polymorph energy (0 for the lowest one): 826 meV per atom
* energy of formation: 530 kJ/mol of formula units
* ρ: 2.67 g cm⁻³
* E: -0.79 eV/atom
* M_tot: 0.00 Bohr magnetons per cell

Cell lengths 6.1039, 6.1039, 6.1039 Å; angles 90.00, 90.00, 90.00 degrees
Closest atoms and distances in Å follow each position.
Space group Pm-3m (No. 221)
Unique sites:
Rb (0.0000, 0.0000, 0.0000)  6 Mg 3.05
Mg (0.0000, 0.0000, 0.5000)  2 Rb 3.05
Pb (0.5000, 0.5000, 0.5000)  12 Mg 4.32

First-principles (PBE) data for a relaxed RbTlCd2Co crystal, as listed in Alexandria.

Computed properties:
* DOS(E_F): 2.0 states/eV/f.u.
* energy of formation: 48 kJ/mol of formula units
* ρ: 6.86 g cm⁻³
* E: -2.35 eV/atom
* M_tot: 0.00 Bohr magnetons per cell

Cell lengths 5.2153, 5.2153, 5.1028 Å; angles 90.00, 90.00, 90.00 degrees
Closest atoms and distances in Å follow each position.
Space group P4/mmm (No. 123)
Unique sites:
Rb (0.0000, 0.0000, 0.0000)  8 Cd 3.65, 4 Tl 3.69
Tl (0.5000, 0.5000, 0.0000)  2 Co 2.55
Cd (0.0000, 0.5000, 0.5000)  2 Co 2.61
Co (0.5000, 0.5000, 0.5000)  2 Tl 2.55, 4 Cd 2.61

First-principles (PBE) data for a relaxed RbCrCl3 crystal, as listed in Alexandria.

Computed properties:
* DOS(E_F): 1.7 states/eV/f.u.
* ρ: 2.79 g cm⁻³
* E: -4.51 eV/atom
* M_tot: 64.00 Bohr magnetons per cell
* formation energy from raw total energies: -1.28 eV per atom

Cell lengths 13.2475, 13.2475, 13.2475 Å; angles 90.00, 90.00, 90.00 degrees
Closest atoms and distances in Å follow each position.
Space group Fd-3m (No. 227, origin choice 2)
Unique sites:
Rb (0.0000, 0.0000, 0.0000)  6 Cl 3.35
Cr (0.0000, 0.0000, 0.5000)  6 Cl 2.52
Cl (0.0693, 0.3750, 0.8750)  2 Cr 2.52

First-principles (PBE) data for a relaxed TbEr8Tm4 crystal, as listed in Alexandria.

Computed properties:
* DOS(E_F): 16.4 states/eV/f.u.
* energy of formation: 286 kJ/mol of formula units
* ρ: 9.05 g cm⁻³
* E: -4.31 eV/atom
* M_tot: 0.00 Bohr magnetons per cell

Cell lengths 7.1737, 7.1737, 26.8486 Å; angles 90.00, 90.00, 120.00 degrees
Closest atoms and distances in Å follow each position.
Space group R-3m (No. 166, hexagonal axes)
Unique sites:
Tb (0.0000, 0.0000, 0.0000)  6 Er 2.90
Er (0.0000, 0.0000, 0.2834)  9 Er 3.62, 3 Tm 3.76
Er (0.0361, 0.5180, 0.2673)  1 Tb 2.90, 2 Er 3.20
Tm (0.0000, 0.0000, 0.5000)  6 Er 3.27, 6 Tm 3.59
Tm (0.0000, 0.5000, 0.5000)  6 Er 3.48-3.76, 6 Tm 3.59

First-principles (PBE) data for a relaxed SrSc2F7 crystal, as listed in Alexandria.

Computed properties:
* DOS(E_F): 4.0 states/eV/f.u.
* ρ: 3.55 g cm⁻³
* E: -6.44 eV/atom
* M_tot: 1.83 Bohr magnetons per cell
* formation energy from raw total energies: -3.70 eV per atom

Cell lengths 6.8525, 10.4363, 4.0570 Å; angles 90.00, 90.00, 90.00 degrees
Closest atoms and distances in Å follow each position.
Space group Cmmm (No. 65)
Unique sites:
Sr (0.0000, 0.0000, 0.0000)  10 F 2.77-2.82
Sc (0.0000, 0.3048, 0.5000)  7 F 2.04-2.26
F (0.0000, 0.2699, 0.0000)  2 Sc 2.06
F (0.0000, 0.5000, 0.5000)  2 Sc 2.04
F (0.1842, 0.1337, 0.5000)  2 Sc 2.19-2.26

First-principles (PBE) data for a relaxed LaCeEr2In4 crystal, as listed in Alexandria.

Computed properties:
* DOS(E_F): 8.9 states/eV/f.u.
* energy of formation: -336 kJ/mol of formula units
* ρ: 7.96 g cm⁻³
* E: -4.30 eV/atom
* M_tot: 2.92 Bohr magnetons per cell

Cell lengths 5.4044, 5.4044, 26.5406 Å; angles 90.00, 90.00, 120.00 degrees
Closest atoms and distances in Å follow each position.
Space group R-3m (No. 166, hexagonal axes)
Unique sites:
La (0.0000, 0.0000, 0.0000)  8 In 3.32-3.34
Ce (0.0000, 0.0000, 0.5000)  8 In 3.29-3.30
Er (0.0000, 0.0000, 0.2499)  8 In 3.29-3.34
In (0.0000, 0.0000, 0.1259)  4 Er 3.29-3.32, 3 Ce 3.30, 1 La 3.34
In (0.0000, 0.0000, 0.3760)  1 Ce 3.29, 4 Er 3.30-3.34, 3 La 3.32

First-principles (PBE) data for a relaxed SrMoC2 crystal, as listed in Alexandria.

Computed properties:
* DOS(E_F): 3.8 states/eV/f.u.
* polymorph energy (0 for the lowest one): 1449 meV per atom
* energy of formation: 675 kJ/mol of formula units
* ρ: 6.46 g cm⁻³
* E: -5.99 eV/atom
* M_tot: 0.00 Bohr magnetons per cell

Cell lengths 5.9749, 5.9749, 5.9749 Å; angles 90.00, 90.00, 90.00 degrees
Closest atoms and distances in Å follow each position.
Space group Fm-3m (No. 225)
Unique sites:
Sr (0.0000, 0.0000, 0.0000)  8 C 2.59
Mo (0.0000, 0.0000, 0.5000)  8 C 2.59
C (0.2500, 0.2500, 0.2500)  4 Sr 2.59, 4 Mo 2.59

First-principles (PBE) data for a relaxed MgZnInRh crystal, as listed in Alexandria.

Computed properties:
* DOS(E_F): 1.9 states/eV/f.u.
* energy of formation: -108 kJ/mol of formula units
* ρ: 7.57 g cm⁻³
* E: -3.52 eV/atom
* M_tot: 0.00 Bohr magnetons per cell

Cell lengths 3.8305, 4.1923, 4.1998 Å; angles 90.00, 90.00, 90.00 degrees
Closest atoms and distances in Å follow each position.
Space group Pmmm (No. 47)
Unique sites:
Mg (0.0000, 0.0000, 0.0000)  4 Rh 2.84, 4 Zn 2.84, 4 In 2.97
Zn (0.5000, 0.0000, 0.5000)  4 In 2.84, 4 Mg 2.84, 4 Rh 2.97
In (0.0000, 0.5000, 0.5000)  4 Zn 2.84, 4 Rh 2.84, 4 Mg 2.97
Rh (0.5000, 0.5000, 0.0000)  4 Mg 2.84, 4 In 2.84, 4 Zn 2.97

First-principles (PBE) data for a relaxed HgPd crystal, as listed in Alexandria.

Computed properties:
* DOS(E_F): 0.9 states/eV/f.u.
* energy of formation: -12 kJ/mol of formula units
* ρ: 12.41 g cm⁻³
* E: -2.81 eV/atom
* M_tot: 0.00 Bohr magnetons per cell

Cell lengths 2.9604, 12.5631, 6.6248 Å; angles 90.00, 90.00, 90.00 degrees
Closest atoms and distances in Å follow each position.
Space group Amm2 (No. 38)
Unique sites:
Hg (0.0000, 0.0000, 0.0000)  5 Pd 2.71-2.90, 2 Hg 2.96
Hg (0.0000, 0.2238, 0.6165)  5 Pd 2.81-2.87, 2 Hg 2.96
Pd (0.0000, 0.0000, 0.5913)  3 Hg 2.71-2.82, 6 Pd 2.80-2.96
Pd (0.5000, 0.1154, 0.3070)  5 Pd 2.80-2.96, 6 Hg 2.81-2.90

First-principles (PBE) data for a relaxed TlCd2As crystal, as listed in Alexandria.

Computed properties:
* DOS(E_F): 1.7 states/eV/f.u.
* polymorph energy (0 for the lowest one): 94 meV per atom
* energy of formation: 41 kJ/mol of formula units
* ρ: 8.20 g cm⁻³
* E: -2.10 eV/atom
* M_tot: 0.00 Bohr magnetons per cell

Cell lengths 3.0931, 4.3475, 7.7350 Å; angles 90.00, 101.04, 90.00 degrees
Closest atoms and distances in Å follow each position.
Space group Pm (No. 6)
Unique sites:
Tl (0.0000, 0.0000, 0.0000)  2 Tl 3.09, 4 As 3.28-3.32
Cd (0.3468, 0.5000, 0.6971)  6 Cd 3.09-3.12
Cd (0.7429, 0.0000, 0.4839)  2 As 2.78, 2 Cd 3.09
As (0.6364, 0.5000, 0.2556)  2 Cd 2.78, 2 As 3.09

First-principles (PBE) data for a relaxed ErZrBi2O6 crystal, as listed in Alexandria.

Computed properties:
* DOS(E_F): 2.2 states/eV/f.u.
* ρ: 8.51 g cm⁻³
* E: -7.32 eV/atom
* M_tot: 0.00 Bohr magnetons per cell
* formation energy from raw total energies: -2.26 eV per atom

Cell lengths 5.9161, 5.9181, 5.9204 Å; angles 61.23, 61.29, 61.28 degrees
Closest atoms and distances in Å follow each position.
Space group P1 (No. 1)
Unique sites:
Er (0.0000, 0.0000, 0.0000)  6 O 2.24-2.30
Zr (0.5170, 0.5171, 0.5172)  6 O 2.06-2.28
Bi (0.2902, 0.2908, 0.2907)  6 O 2.36-2.47
Bi (0.7554, 0.7566, 0.7548)  3 O 2.42-2.43
O (0.1601, 0.3606, 0.7027)  1 Zr 2.28, 1 Er 2.30, 2 Bi 2.36-2.43
O (0.2449, 0.8513, 0.6398)  1 Zr 2.06, 1 Er 2.24
O (0.3606, 0.7033, 0.1606)  1 Zr 2.28, 1 Er 2.30, 2 Bi 2.36-2.43
O (0.6387, 0.2432, 0.8519)  1 Zr 2.06, 1 Er 2.24
O (0.7038, 0.1604, 0.3601)  1 Zr 2.28, 1 Er 2.30, 2 Bi 2.37-2.42
O (0.8522, 0.6387, 0.2457)  1 Zr 2.06, 1 Er 2.24

First-principles (PBE) data for a relaxed Hf2Tc2Sn crystal, as listed in Alexandria.

Computed properties:
* DOS(E_F): 3.6 states/eV/f.u.
* polymorph energy (0 for the lowest one): 0 meV per atom
* energy of formation: -66 kJ/mol of formula units
* ρ: 11.47 g cm⁻³
* E: -9.07 eV/atom
* M_tot: 0.00 Bohr magnetons per cell

Cell lengths 6.9427, 6.9427, 4.0342 Å; angles 90.00, 90.00, 90.00 degrees
Closest atoms and distances in Å follow each position.
Space group P4/mbm (No. 127)
Unique sites:
Hf (0.1828, 0.3172, 0.0000)  6 Tc 2.78-2.95
Tc (0.1218, 0.6218, 0.5000)  1 Tc 2.39
Sn (0.0000, 0.0000, 0.5000)  4 Tc 2.76

First-principles (PBE) data for a relaxed PmAlSi3 crystal, as listed in Alexandria.

Computed properties:
* DOS(E_F): 2.2 states/eV/f.u.
* ρ: 4.47 g cm⁻³
* E: -5.16 eV/atom
* M_tot: 0.00 Bohr magnetons per cell
* formation energy from raw total energies: -0.21 eV per atom

Cell lengths 4.0542, 23.7413, 3.9568 Å; angles 90.00, 90.00, 90.00 degrees
Closest atoms and distances in Å follow each position.
Space group Cmcm (No. 63)
Unique sites:
Pm (0.0000, 0.0792, 0.2500)  12 Si 3.08-3.38
Al (0.0000, 0.2002, 0.7500)  7 Si 2.54-2.84
Si (0.0000, 0.3070, 0.7500)  2 Si 2.47, 1 Al 2.54
Si (0.0000, 0.3692, 0.2500)  3 Si 2.44-2.47, 2 Al 2.61
Si (0.0000, 0.4721, 0.2500)  3 Si 2.38-2.44

First-principles (PBE) data for a relaxed AcTmNi2H8 crystal, as listed in Alexandria.

Computed properties:
* DOS(E_F): 5.8 states/eV/f.u.
* ρ: 7.24 g cm⁻³
* E: -4.20 eV/atom
* M_tot: 0.00 Bohr magnetons per cell

Cell lengths 4.4454, 4.4454, 20.9620 Å; angles 90.00, 90.00, 120.00 degrees
Closest atoms and distances in Å follow each position.
Space group R-3 (No. 148, hexagonal axes)
Unique sites:
Ac (0.0000, 0.0000, 0.0000)  12 H 2.58-2.68
Tm (0.0000, 0.0000, 0.5000)  12 H 2.46-2.48
Ni (0.0000, 0.0000, 0.2458)  4 H 1.55-1.60
H (0.0000, 0.0000, 0.3219)  1 Ni 1.60
H (0.0386, 0.5217, 0.5509)  1 Ni 1.55

First-principles (PBE) data for a relaxed MnCr2Te crystal, as listed in Alexandria.

Computed properties:
* DOS(E_F): 7.4 states/eV/f.u.
* ρ: 7.71 g cm⁻³
* E: -7.05 eV/atom
* M_tot: 0.00 Bohr magnetons per cell
* formation energy from raw total energies: 0.84 eV per atom

Cell lengths 3.7942, 3.7942, 17.1507 Å; angles 90.00, 90.00, 90.00 degrees
Closest atoms and distances in Å follow each position.
Space group I-42d (No. 122)
Unique sites:
Mn (0.0000, 0.0000, 0.0000)  4 Cr 2.44, 4 Te 2.68
Cr (0.1797, 0.2500, 0.1250)  2 Cr 2.34, 2 Mn 2.44
Te (0.0000, 0.0000, 0.5000)  4 Cr 2.64, 4 Mn 2.68

First-principles (PBE) data for a relaxed PaVBi2 crystal, as listed in Alexandria.

Computed properties:
* DOS(E_F): 5.1 states/eV/f.u.
* energy of formation: 184 kJ/mol of formula units
* ρ: 10.66 g cm⁻³
* E: -6.12 eV/atom
* M_tot: 11.72 Bohr magnetons per cell

Cell lengths 3.3542, 3.3542, 33.5614 Å; angles 90.00, 90.00, 120.00 degrees
Closest atoms and distances in Å follow each position.
Space group R-3m (No. 166, hexagonal axes)
Unique sites:
Pa (0.0000, 0.0000, 0.0000)  6 Pa 3.35, 6 Bi 3.38
V (0.0000, 0.0000, 0.5000)  2 Bi 2.83
Bi (0.0000, 0.0000, 0.4158)  1 V 2.83

First-principles (PBE) data for a relaxed BaAc2Cu crystal, as listed in Alexandria.

Computed properties:
* DOS(E_F): 5.2 states/eV/f.u.
* polymorph energy (0 for the lowest one): 38 meV per atom
* energy of formation: 23 kJ/mol of formula units
* ρ: 6.50 g cm⁻³
* E: -3.50 eV/atom
* M_tot: 0.00 Bohr magnetons per cell

Cell lengths 4.1962, 4.1962, 32.9147 Å; angles 90.00, 90.00, 120.00 degrees
Closest atoms and distances in Å follow each position.
Space group R-3m (No. 166, hexagonal axes)
Unique sites:
Ba (0.0000, 0.0000, 0.0000)  6 Ba 4.20, 6 Ac 4.32
Ac (0.0000, 0.0000, 0.2248)  3 Cu 3.09
Cu (0.0000, 0.0000, 0.5000)  6 Ac 3.09